1.
Entry from the Alexandria database: a relaxed Th2ZrAl6 crystal (GGA-PBE).

It has space group P6/mmm (No. 191), with a = 7.8515 Å, b = 7.8515 Å, c = 3.6054 Å, α = 90.00°, β = 90.00° and γ = 120.00°. Symmetry generates all atoms from Th at (0.3333, 0.6667, 0.0000), Zr at (0.0000, 0.0000, 0.0000) and Al at (0.0000, 0.3255, 0.5000).

The density of states at the Fermi level comes out at 0.3768 states/eV/atom. The calculation puts the total energy at -5.4802 eV per atom. Its calculated volume is 192.5 Å³ per cell.


2.
Entry from the Alexandria database: a relaxed CdTe2Ir crystal (GGA-PBE).

It has space group I4/mmm (No. 139), with a = 5.6707 Å, b = 5.6707 Å, c = 6.0483 Å, α = 90.00°, β = 90.00° and γ = 90.00°. Symmetry generates all atoms from Cd at (0.0000, 0.0000, 0.0000), Te at (0.0000, 0.5000, 0.0000) and Ir at (0.0000, 0.0000, 0.5000).

The density of states at the Fermi level comes out at 0.5471 states/eV/atom. As for the uncorrected formation energy: 341 meV per atom. Its calculated volume is 194.5 Å³ per cell.


3.
Entry from the Alexandria database: a relaxed TlReCl2 crystal (GGA-PBE).

It has space group P4mm (No. 99), with a = 3.1780 Å, b = 3.1780 Å, c = 8.3752 Å, α = 90.00°, β = 90.00° and γ = 90.00°. Symmetry generates all atoms from Tl at (0.0000, 0.0000, 0.0000), Re at (0.5000, 0.5000, 0.7127), Cl at (0.0000, 0.0000, 0.5864) and Cl at (0.5000, 0.5000, 0.2264).

The density of states at the Fermi level comes out at 0.3547 states/eV/atom. As for the uncorrected formation energy: 528 meV per atom. As for the excess energy over the best structure of this formula in the dataset: 436 meV/atom. Its calculated volume is 84.6 Å³ per cell.


Which value of calculated volume does entry 3 give?
84.6 Å³ per cell


What is the formula in the second record?
CdTe2Ir


Look up the calculated volume of the second one.
194.5 Å³ per cell